[1]
CaAc3Ga2 | PBE | optimized geometry

Cell and atoms, written as CIF:
```
data_CaAc3Ga2
_space_group_name_H-M_alt 'I b a m'
_space_group_IT_number 72
_space_group_name_Hall '-I 2 2c'
_cell_length_a 7.556
_cell_length_b 15.414
_cell_length_c 7.924
_cell_angle_alpha 90.00
_cell_angle_beta 90.00
_cell_angle_gamma 90.00
loop_
_atom_site_label
_atom_site_fract_x
_atom_site_fract_y
_atom_site_fract_z
_atom_site_occupancy
Ca1 0.000 0.000 0.000 1
Ac1 0.000 0.231 0.250 1
Ac2 0.000 0.500 0.250 1
Ga1 0.213 0.365 0.000 1
```

Values from the calculation:
density = 6.19 g cm⁻³
energy above the lowest structure with this stoichiometry = 131 meV per atom
formation energy = -0.183 eV/atom



[2]
CaAc2Ga2 | PBE | optimized geometry

Cell and atoms, written as CIF:
```
data_CaAc2Ga2
_space_group_name_H-M_alt 'C 1 2/m 1'
_space_group_IT_number 12
_space_group_name_Hall '-C 2y'
_cell_length_a 12.813
_cell_length_b 4.941
_cell_length_c 11.700
_cell_angle_alpha 90.00
_cell_angle_beta 119.92
_cell_angle_gamma 90.00
loop_
_atom_site_label
_atom_site_fract_x
_atom_site_fract_y
_atom_site_fract_z
_atom_site_occupancy
Ca1 0.211 0.000 0.370 1
Ac1 0.031 0.500 0.694 1
Ac2 0.186 0.500 0.103 1
Ga1 0.027 0.000 0.903 1
Ga2 0.118 0.000 0.572 1
```

Values from the calculation:
density = 6.55 g cm⁻³
energy above the lowest structure with this stoichiometry = 48 meV per atom
formation energy = -0.372 eV/atom



[3]
Ca2AcGa | PBE | optimized geometry

Cell and atoms, written as CIF:
```
data_Ca2AcGa
_space_group_name_H-M_alt 'C m c m'
_space_group_IT_number 63
_space_group_name_Hall '-C 2c 2'
_cell_length_a 3.944
_cell_length_b 14.062
_cell_length_c 10.061
_cell_angle_alpha 90.00
_cell_angle_beta 90.00
_cell_angle_gamma 90.00
loop_
_atom_site_label
_atom_site_fract_x
_atom_site_fract_y
_atom_site_fract_z
_atom_site_occupancy
Ca1 0.000 0.146 0.060 1
Ac1 0.000 0.442 0.250 1
Ga1 0.000 0.241 0.750 1
```

Values from the calculation:
density = 4.49 g cm⁻³
energy above the lowest structure with this stoichiometry = 0 meV per atom
formation energy = -0.229 eV/atom



[4]
Ca5Ac2Ga4 | PBE | optimized geometry

Cell and atoms, written as CIF:
```
data_Ca5Ac2Ga4
_space_group_name_H-M_alt 'C 1 2/m 1'
_space_group_IT_number 12
_space_group_name_Hall '-C 2y'
_cell_length_a 13.504
_cell_length_b 6.676
_cell_length_c 8.418
_cell_angle_alpha 90.00
_cell_angle_beta 109.78
_cell_angle_gamma 90.00
loop_
_atom_site_label
_atom_site_fract_x
_atom_site_fract_y
_atom_site_fract_z
_atom_site_occupancy
Ca1 0.000 0.000 0.000 1
Ca2 0.111 0.253 0.443 1
Ac1 0.242 0.500 0.129 1
Ga1 0.080 0.500 0.757 1
Ga2 0.228 0.000 0.252 1
```

Values from the calculation:
density = 4.34 g cm⁻³
formation energy = -0.231 eV/atom



[5]
CaAc2Ga6 | PBE | optimized geometry

Cell and atoms, written as CIF:
```
data_CaAc2Ga6
_space_group_name_H-M_alt 'P 6/m m m'
_space_group_IT_number 191
_space_group_name_Hall '-P 6 2'
_cell_length_a 7.5549
_cell_length_b 7.5549
_cell_length_c 4.6398
_cell_angle_alpha 90.00
_cell_angle_beta 90.00
_cell_angle_gamma 120.00
loop_
_atom_site_label
_atom_site_fract_x
_atom_site_fract_y
_atom_site_fract_z
_atom_site_occupancy
Ca1 0.0000 0.0000 0.0000 1
Ac1 0.3333 0.6667 0.0000 1
Ga1 0.0000 0.3317 0.5000 1
```

Values from the calculation:
density = 6.61 g cm⁻³
formation energy = -0.580 eV/atom



[6]
Ca2AcGa | PBE | optimized geometry

Cell and atoms, written as CIF:
```
data_Ca2AcGa
_space_group_name_H-M_alt 'P 4/m m m'
_space_group_IT_number 123
_space_group_name_Hall '-P 4 2'
_cell_length_a 4.958
_cell_length_b 4.958
_cell_length_c 5.448
_cell_angle_alpha 90.00
_cell_angle_beta 90.00
_cell_angle_gamma 90.00
loop_
_atom_site_label
_atom_site_fract_x
_atom_site_fract_y
_atom_site_fract_z
_atom_site_occupancy
Ca1 0.000 0.500 0.000 1
Ac1 0.000 0.000 0.500 1
Ga1 0.500 0.500 0.500 1
```

Values from the calculation:
density = 4.67 g cm⁻³
energy above the lowest structure with this stoichiometry = 91 meV per atom
formation energy = -0.137 eV/atom



Energy (computed, eV for the cell shown): -85.9, -72.5, -48.2, -65.7, -33.6, -11.7
Total magnetic moment (computed, μB per atom): 0.00, 0.00, 0.00, 0.00, 0.00, 0.00
V (computed, Å³/atom): 38.45, 32.10, 34.88, 32.46, 25.48, 33.49